Entry 1:
The following is a DFT calculation (GGA-PBE) of a relaxed structure of LaCuNF2.

Summary:
- E above lowest polymorph (kJ per mole of atoms) = 34.1

Cell and atoms, written as CIF:
```
data_LaCuNF2
_chemical_formula_sum 'La1 Cu1 N1 F2'
_cell_length_a 4.641
_cell_length_b 4.641
_cell_length_c 4.454
_cell_angle_alpha 90.00
_cell_angle_beta 90.00
_cell_angle_gamma 90.00
_symmetry_space_group_name_H-M 'P 4/m m m'
_symmetry_Int_Tables_number 123
_symmetry_space_group_name_Hall '-P 4 2'
loop_
_atom_site_label
_atom_site_type_symbol
_atom_site_fract_x
_atom_site_fract_y
_atom_site_fract_z
_atom_site_occupancy
La1 La 0.000 0.000 0.000 1
Cu1 Cu 0.500 0.500 0.500 1
N1 N 0.000 0.000 0.500 1
F1 F 0.000 0.500 0.000 1
```

***

Entry 2:
The following is a DFT calculation (GGA-PBE) of a relaxed structure of LaCuNF2.

Summary:
- E above lowest polymorph (kJ per mole of atoms) = 0.0

Cell and atoms, written as CIF:
```
data_LaCuNF2
_chemical_formula_sum 'La1 Cu1 N1 F2'
_cell_length_a 3.977
_cell_length_b 3.977
_cell_length_c 4.107
_cell_angle_alpha 90.00
_cell_angle_beta 90.00
_cell_angle_gamma 90.00
_symmetry_space_group_name_H-M 'P 4/m m m'
_symmetry_Int_Tables_number 123
_symmetry_space_group_name_Hall '-P 4 2'
loop_
_atom_site_label
_atom_site_type_symbol
_atom_site_fract_x
_atom_site_fract_y
_atom_site_fract_z
_atom_site_occupancy
La1 La 0.000 0.000 0.000 1
Cu1 Cu 0.500 0.500 0.500 1
N1 N 0.500 0.500 0.000 1
F1 F 0.000 0.500 0.500 1
```

***

Entry 3:
The following is a DFT calculation (GGA-PBE) of a relaxed structure of La2CuN2F2.

Cell and atoms, written as CIF:
```
data_La2CuN2F2
_chemical_formula_sum 'La4 Cu2 N4 F4'
_cell_length_a 4.029
_cell_length_b 4.029
_cell_length_c 13.035
_cell_angle_alpha 90.00
_cell_angle_beta 90.00
_cell_angle_gamma 90.00
_symmetry_space_group_name_H-M 'I 4/m m m'
_symmetry_Int_Tables_number 139
_symmetry_space_group_name_Hall '-I 4 2'
loop_
_atom_site_label
_atom_site_type_symbol
_atom_site_fract_x
_atom_site_fract_y
_atom_site_fract_z
_atom_site_occupancy
La1 La 0.000 0.000 0.123 1
Cu1 Cu 0.000 0.000 0.500 1
N1 N 0.000 0.500 0.000 1
F1 F 0.000 0.500 0.250 1
```

***

Entry 4:
The following is a DFT calculation (GGA-PBE) of a relaxed structure of NaLaCu2F.

Cell and atoms, written as CIF:
```
data_NaLaCu2F
_chemical_formula_sum 'Na1 La1 Cu2 F1'
_cell_length_a 4.465
_cell_length_b 4.465
_cell_length_c 6.114
_cell_angle_alpha 90.00
_cell_angle_beta 90.00
_cell_angle_gamma 90.00
_symmetry_space_group_name_H-M 'P 4/m m m'
_symmetry_Int_Tables_number 123
_symmetry_space_group_name_Hall '-P 4 2'
loop_
_atom_site_label
_atom_site_type_symbol
_atom_site_fract_x
_atom_site_fract_y
_atom_site_fract_z
_atom_site_occupancy
Na1 Na 0.000 0.000 0.000 1
La1 La 0.000 0.000 0.500 1
Cu1 Cu 0.000 0.500 0.000 1
F1 F 0.500 0.500 0.500 1
```

***

| no. | E_form (uncorrected) (eV per formula unit) |
| --- | --- |
| 1 | -6.1 |
| 2 | -7.9 |
| 3 | -14.1 |
| 4 | 1.5 |